Nb2PdI | GGA-PBE | optimized geometry

Cell: 4.712 4.712 4.712 Å, 60.00 60.00 60.00°
Element x y z (fractional)
1 I 0.500 0.500 0.500
2 Nb 0.250 0.250 0.250
3 Nb 0.750 0.750 0.750
4 Pd 0.000 0.000 0.000

Output
As for the formation energy without anion corrections: 348 meV/atom. Its uncorrected energy is -6.37 eV per atom. Its crystal system is cubic. Its density of states at the Fermi level is 1.206 states/eV/atom. Its spin magnetization is 0.00 Bohr magnetons per cell. Its energy above the lowest structure with this stoichiometry is 0 meV/atom.

Tm4HgSb | GGA-PBE | optimized geometry

Cell: 7.295 7.294 7.028 Å, 90.00 89.73 90.00°
Element x y z (fractional)
1 Tm 0.850 0.649 0.151
2 Tm 0.650 0.149 0.849
3 Tm 0.337 0.336 0.351
4 Tm 0.163 0.836 0.649
5 Tm 0.150 0.351 0.849
6 Tm 0.350 0.851 0.151
7 Tm 0.663 0.664 0.649
8 Tm 0.837 0.164 0.351
9 Hg 0.500 0.000 0.500
10 Hg 0.000 0.500 0.500
11 Sb 0.000 0.000 0.000
12 Sb 0.500 0.500 0.000

Output
As for the formation energy without anion corrections: -226 meV/atom. Its uncorrected energy is -3.94 eV per atom. Its crystal system is monoclinic. Its density of states at the Fermi level is 1.173 states/eV/atom. Its spin magnetization is 0.00 Bohr magnetons per cell.

Ca3Ni2Sn4 | GGA-PBE | optimized geometry

Cell: 4.629 6.074 8.700 Å, 103.81 90.00 112.40°
Element x y z (fractional)
1 Ca 0.617 0.234 0.690
2 Ca 0.000 0.000 0.000
3 Ca 0.383 0.766 0.310
4 Ni 0.689 0.377 0.371
5 Ni 0.311 0.623 0.629
6 Sn 0.711 0.423 0.087
7 Sn 0.289 0.577 0.913
8 Sn 0.895 0.791 0.594
9 Sn 0.105 0.209 0.406

Output
Its uncorrected energy is -4.24 eV per atom. Its crystal system is monoclinic. Its density of states at the Fermi level is 0.584 states/eV/atom. Its formation energy is -445 kJ/mol of formula units. Its spin magnetization is 0.00 Bohr magnetons per cell.

DyCd2Cu | GGA-PBE | optimized geometry

Cell: 3.341 3.341 7.523 Å, 90.00 90.00 90.00°
Each line ends with the local moment (μB).
Element x y z (fractional)
1 Cd 0.000 0.000 0.797  0.00
2 Cd 0.000 0.000 0.203  0.00
3 Cu 0.500 0.500 0.000  0.00
4 Dy 0.500 0.500 0.500  0.13

Output
Its uncorrected energy is -2.74 eV per atom. Its crystal system is tetragonal. Its density of states at the Fermi level is 0.637 states/eV/atom. Its formation energy is -42 kJ/mol of formula units. Its spin magnetization is 0.15 Bohr magnetons per cell.

Rb2SnGeF | GGA-PBE | optimized geometry

Cell: 7.041 4.210 7.041 Å, 90.00 90.00 90.00°
Each line ends with the local moment (μB).
Element x y z (fractional)
1 Ge 0.000 0.000 0.000  0.48
2 Sn 0.500 0.500 0.500  0.40
3 Rb 0.000 0.000 0.500  0.03
4 Rb 0.500 0.000 0.000  0.05
5 F 0.000 0.500 0.000  0.05

Output
As for the formation energy without anion corrections: -265 meV/atom. Its uncorrected energy is -2.75 eV per atom. Its crystal system is tetragonal. Its density of states at the Fermi level is 1.106 states/eV/atom. Its spin magnetization is 2.66 Bohr magnetons per cell.

CsK2PtBr | GGA-PBE | optimized geometry

Cell: 6.066 6.066 6.601 Å, 90.00 90.00 90.00°
Element x y z (fractional)
1 Cs 0.000 0.000 0.500
2 K 0.000 0.500 0.000
3 K 0.500 0.000 0.000
4 Br 0.500 0.500 0.500
5 Pt 0.000 0.000 0.000

Output
As for the formation energy without anion corrections: -579 meV/atom. Its uncorrected energy is -2.73 eV per atom. Its crystal system is tetragonal. Its spin magnetization is 0.00 Bohr magnetons per cell.